Material: Dy4TmPuS8
Method: DFT, GGA-PBE
State: relaxed

abc: 8.0608 8.0608 8.0608
angles: 60.26 60.26 60.26
Closest atoms and distances in Å follow each position.
Sites, in units of the cell vectors:
Dy: 0.0000 0.0000 0.0000  4 S 2.62-2.64
Dy: 0.3770 0.3770 0.8714  6 S 2.72-2.79
Dy: 0.3770 0.8714 0.3770  6 S 2.72-2.79
Dy: 0.8714 0.3770 0.3770  6 S 2.72-2.79
Tm: 0.3771 0.3771 0.3771  6 S 2.69-2.76
Pu: 0.7516 0.7516 0.7516  4 S 2.69-2.70
S: 0.1331 0.1331 0.1331  4 Dy 2.62-2.79
S: 0.1357 0.1357 0.6008  3 Dy 2.64-2.79, 1 Tm 2.76
S: 0.1357 0.6008 0.1357  3 Dy 2.64-2.79, 1 Tm 2.76
S: 0.1602 0.6121 0.6121  1 Tm 2.69, 1 Pu 2.70, 2 Dy 2.72
S: 0.6008 0.1357 0.1357  3 Dy 2.64-2.79, 1 Tm 2.76
S: 0.6121 0.1602 0.6121  1 Tm 2.69, 1 Pu 2.70, 2 Dy 2.72
S: 0.6121 0.6121 0.1602  1 Tm 2.69, 1 Pu 2.70, 2 Dy 2.72
S: 0.6150 0.6150 0.6150  1 Pu 2.69, 3 Dy 2.72

Output
Raw total energy: -6.906 eV per atom
Symmetry: No. 160
Calculated density: 5.88 g cm⁻³
DOS(E_F): 18.78 states/eV per cell
Energy relative to the elements, uncorrected: -1.8891 eV per atom

Material: CrAgH
Method: DFT, GGA-PBE
State: relaxed

abc: 4.5620 7.1041 4.6490
angles: 90.00 90.00 90.00
Closest atoms and distances in Å follow each position.
Sites, in units of the cell vectors:
Cr: 0.0001 0.2500 0.0214  2 H 1.70
Cr: 0.9999 0.7500 0.9786  2 H 1.70
Cr: 0.5001 0.2500 0.4786  2 H 1.70
Cr: 0.4999 0.7500 0.5214  2 H 1.70
Ag: 0.0000 0.0000 0.5000  4 H 2.40-2.42
Ag: 0.0000 0.5000 0.5000  4 H 2.40-2.42
Ag: 0.5000 0.0000 0.0000  4 H 2.40-2.42
Ag: 0.5000 0.5000 0.0000  4 H 2.40-2.42
H: 0.2486 0.2500 0.7486  2 Cr 1.70
H: 0.2514 0.7500 0.2486  2 Cr 1.70
H: 0.7486 0.2500 0.7514  2 Cr 1.70
H: 0.7514 0.7500 0.2514  2 Cr 1.70

Output
Raw total energy: -4.789 eV per atom
Symmetry: No. 62
ΔE to the lowest computed polymorph: 334.7 meV/atom
Calculated density: 7.09 g cm⁻³
DOS(E_F): 4.90 states/eV per cell

Material: PmHo3Tl4Se8
Method: DFT, GGA-PBE
State: relaxed

abc: 9.1617 9.1617 9.1617
angles: 54.59 54.59 54.59
Closest atoms and distances in Å follow each position.
Sites, in units of the cell vectors:
Pm: 0.0000 0.0000 0.0000  6 Se 2.94
Ho: 0.0000 0.5000 0.5000  6 Se 2.88-2.89
Ho: 0.5000 0.0000 0.5000  6 Se 2.88-2.89
Ho: 0.5000 0.5000 0.0000  6 Se 2.88-2.89
Tl: 0.0000 0.0000 0.5000  6 Se 3.35
Tl: 0.0000 0.5000 0.0000  6 Se 3.35
Tl: 0.5000 0.0000 0.0000  6 Se 3.35
Tl: 0.5000 0.5000 0.5000  6 Se 3.30
Se: 0.2385 0.2385 0.7285  2 Ho 2.88, 1 Pm 2.94
Se: 0.2385 0.7285 0.2385  2 Ho 2.88, 1 Pm 2.94
Se: 0.2658 0.2658 0.2658  3 Ho 2.89
Se: 0.2715 0.7615 0.7615  2 Ho 2.88, 1 Pm 2.94
Se: 0.7285 0.2385 0.2385  2 Ho 2.88, 1 Pm 2.94
Se: 0.7342 0.7342 0.7342  3 Ho 2.89
Se: 0.7615 0.2715 0.7615  2 Ho 2.88, 1 Pm 2.94
Se: 0.7615 0.7615 0.2715  2 Ho 2.88, 1 Pm 2.94

Output
Raw total energy: -4.871 eV per atom
Symmetry: No. 166
Calculated density: 7.30 g cm⁻³
Energy relative to the elements, uncorrected: -1.3824 eV per atom

Material: LiY2Zn
Method: DFT, GGA-PBE
State: relaxed

abc: 4.7478 6.1106 6.1106
angles: 33.12 90.00 90.00
Closest atoms and distances in Å follow each position.
Sites, in units of the cell vectors:
Li: 0.0000 0.0000 0.0000  2 Zn 2.83, 6 Y 3.11-3.14
Y: 0.0000 0.2796 0.2796  3 Li 3.11-3.28, 4 Zn 3.12, 2 Y 3.48
Y: 0.5000 0.5924 0.5924  4 Li 3.14, 3 Zn 3.14-3.24, 2 Y 3.48
Zn: 0.5000 0.8689 0.8689  2 Li 2.83, 6 Y 3.12-3.14

Output
Raw total energy: -4.111 eV per atom
Symmetry: No. 38
Calculated density: 4.29 g cm⁻³
DOS(E_F): 4.67 states/eV per cell

Please write out number 2 again, unchanged.
Material: CrAgH
Method: DFT, GGA-PBE
State: relaxed

abc: 4.5620 7.1041 4.6490
angles: 90.00 90.00 90.00
Closest atoms and distances in Å follow each position.
Sites, in units of the cell vectors:
Cr: 0.0001 0.2500 0.0214  2 H 1.70
Cr: 0.9999 0.7500 0.9786  2 H 1.70
Cr: 0.5001 0.2500 0.4786  2 H 1.70
Cr: 0.4999 0.7500 0.5214  2 H 1.70
Ag: 0.0000 0.0000 0.5000  4 H 2.40-2.42
Ag: 0.0000 0.5000 0.5000  4 H 2.40-2.42
Ag: 0.5000 0.0000 0.0000  4 H 2.40-2.42
Ag: 0.5000 0.5000 0.0000  4 H 2.40-2.42
H: 0.2486 0.2500 0.7486  2 Cr 1.70
H: 0.2514 0.7500 0.2486  2 Cr 1.70
H: 0.7486 0.2500 0.7514  2 Cr 1.70
H: 0.7514 0.7500 0.2514  2 Cr 1.70

Output
Raw total energy: -4.789 eV per atom
Symmetry: No. 62
ΔE to the lowest computed polymorph: 334.7 meV/atom
Calculated density: 7.09 g cm⁻³
DOS(E_F): 4.90 states/eV per cell

raw total energy of number 1 (Dy4TmPuS8)?
-6.906 eV per atom